[1]
Here is a relaxed structure of GeH2S from Alexandria. Energies are from PBE-GGA.

Unit cell a=5.300 b=5.300 c=5.228 alpha=59.54 beta=59.54 gamma=90.00
Element x y z (fractional)
H: 0.785 0.125 0.250
H: 0.965 0.625 0.250
H: 0.875 0.035 0.750
H: 0.375 0.215 0.750
Ge: 0.000 0.000 0.000
Ge: 0.750 0.250 0.500
S: 0.500 0.500 0.000
S: 0.250 0.750 0.500

total energy	-25.9	eV for the cell shown
excess energy over the best structure of this formula in the dataset	751	meV/atom
density of states at the Fermi level	4.85	states/eV/cell
symmetry	I-42d

[2]
Here is a relaxed structure of Si2PS from Alexandria. Energies are from PBE-GGA.

Unit cell a=4.365 b=4.365 c=4.365 alpha=60.00 beta=60.00 gamma=60.00
Element x y z (fractional)
Si: 0.750 0.750 0.750
Si: 0.250 0.250 0.250
P: 0.000 0.000 0.000
S: 0.500 0.500 0.500

total energy	-18.4	eV for the cell shown
excess energy over the best structure of this formula in the dataset	261	meV/atom
density of states at the Fermi level	1.57	states/eV/cell
E_form (uncorrected)	0.503	eV per atom
symmetry	Fm-3m

[3]
Here is a relaxed structure of RbNaCdIn from Alexandria. Energies are from PBE-GGA.

Unit cell a=5.692 b=5.692 c=5.692 alpha=60.00 beta=60.00 gamma=60.00
Element x y z (fractional)
In: 0.000 0.000 0.000
Cd: 0.750 0.750 0.750
Na: 0.250 0.250 0.250
Rb: 0.500 0.500 0.500

total energy	-5.8	eV for the cell shown
excess energy over the best structure of this formula in the dataset	102	meV/atom
density of states at the Fermi level	3.42	states/eV/cell
symmetry	F-43m
energy of formation from the pure elements	0.02	eV per atom

[4]
Here is a relaxed structure of BaTiP2 from Alexandria. Energies are from PBE-GGA.

Unit cell a=4.971 b=4.971 c=4.971 alpha=60.00 beta=60.00 gamma=60.00
Element x y z (fractional)
P: 0.250 0.250 0.250
P: 0.750 0.750 0.750
Ba: 0.500 0.500 0.500
Ti: 0.000 0.000 0.000

total energy	-21.3	eV for the cell shown
excess energy over the best structure of this formula in the dataset	660	meV/atom
density of states at the Fermi level	4.64	states/eV/cell
symmetry	Fm-3m
energy of formation from the pure elements	-0.16	eV per atom